VASP calculation (PBE) on a geometry-optimized Sc2SiSe structure.

Unit cell a=4.2692 b=3.5419 c=10.3952 alpha=90.00 beta=90.00 gamma=90.00
Space group Amm2 (No. 38)
Inequivalent atoms, fractional coordinates:
Sc: 0.0000 0.0000 0.0000 (multiplicity 2)
Sc: 0.5000 0.0000 0.2532 (multiplicity 2)
Si: 0.0000 0.0000 0.7404 (multiplicity 2)
Se: 0.5000 0.0000 0.5126 (multiplicity 2)

Results
Raw formation energy: -0.97 eV per atom
Offset from the most stable computed form: 1.12 eV per formula unit
Electronic total energy: -6.3629 eV per atom